Record 1
# FeReIr2 (meta-GGA SCAN, PBEsol geometry)
data_FeReIr2
_space_group_name_H-M_alt 'I 4/m m m'
_space_group_IT_number 139
_space_group_name_Hall '-I 4 2'
_cell_length_a 3.7880
_cell_length_b 3.7880
_cell_length_c 7.5007
_cell_angle_alpha 90.00
_cell_angle_beta 90.00
_cell_angle_gamma 90.00
loop_
_atom_site_label
_atom_site_type_symbol
_atom_site_fract_x
_atom_site_fract_y
_atom_site_fract_z
Fe1 Fe 0.0000 0.0000 0.0000
Re1 Re 0.0000 0.0000 0.5000
Ir1 Ir 0.0000 0.5000 0.2500
# Total energy, Ry/atom: -4.2685
# E_form, eV/atom: -0.219
# Crystal system: tetragonal

---

Record 2
# MgIr2Au (meta-GGA SCAN, PBEsol geometry)
data_MgIr2Au
_space_group_name_H-M_alt 'F -4 3 m'
_space_group_IT_number 216
_space_group_name_Hall 'F -4 2 3'
_cell_length_a 6.2670
_cell_length_b 6.2670
_cell_length_c 6.2670
_cell_angle_alpha 90.00
_cell_angle_beta 90.00
_cell_angle_gamma 90.00
loop_
_atom_site_label
_atom_site_type_symbol
_atom_site_fract_x
_atom_site_fract_y
_atom_site_fract_z
Mg1 Mg 0.0000 0.0000 0.0000
Ir1 Ir 0.0000 0.0000 0.5000
Ir2 Ir 0.2500 0.2500 0.2500
Au1 Au 0.2500 0.2500 0.7500
# Total energy, Ry/atom: -3.9678
# E_form, eV/atom: 0.098
# Crystal system: cubic

---

| no. | N(E_F) (states/eV per cell) |
| --- | --- |
| 1 | 5.01 |
| 2 | 11.93 |